Record 1
Ca3Se5: optimized geometry, PBEsol.

Geometry as CIF:
```
data_Ca3Se5
_chemical_formula_sum 'Ca6 Se10'
_symmetry_space_group_name_H-M 'C m m m'
_symmetry_Int_Tables_number 65
_symmetry_space_group_name_Hall '-C 2 2'
_cell_length_a 7.472
_cell_length_b 8.735
_cell_length_c 5.655
_cell_angle_alpha 90.00
_cell_angle_beta 90.00
_cell_angle_gamma 90.00
loop_
_atom_site_label
_atom_site_type_symbol
_atom_site_fract_x
_atom_site_fract_y
_atom_site_fract_z
Ca1 Ca 0.000 0.000 0.000
Ca2 Ca 0.000 0.286 0.500
Se1 Se 0.000 0.500 0.000
Se2 Se 0.207 0.000 0.500
Se3 Se 0.250 0.250 0.000
```

Calculated values
total magnetic moment: 0.001 μB per formula unit
E_form (uncorrected): -10.027 eV/f.u.
density of states at the Fermi level: 11.04 states/eV/cell



Record 2
CsTc3Ge: optimized geometry, PBEsol.

Geometry as CIF:
```
data_CsTc3Ge
_chemical_formula_sum 'Cs1 Tc3 Ge1'
_symmetry_space_group_name_H-M 'P m -3 m'
_symmetry_Int_Tables_number 221
_symmetry_space_group_name_Hall '-P 4 2 3'
_cell_length_a 4.741
_cell_length_b 4.741
_cell_length_c 4.741
_cell_angle_alpha 90.00
_cell_angle_beta 90.00
_cell_angle_gamma 90.00
loop_
_atom_site_label
_atom_site_type_symbol
_atom_site_fract_x
_atom_site_fract_y
_atom_site_fract_z
Cs1 Cs 0.000 0.000 0.000
Tc1 Tc 0.000 0.500 0.500
Ge1 Ge 0.500 0.500 0.500
```

Calculated values
total magnetic moment: 4.911 μB per formula unit
energy of formation: 1.766 eV/atom
density of states at the Fermi level: 5.50 states/eV/cell